Record 1
Ca2GaHBr | PBE | relaxed

Total energy = -13.91 eV per formula unit

a b c (Å): 4.6711 4.6711 5.2935
angles (deg): 90.00 90.00 90.00
With the nearest neighbours (Å) after each atom.
Fractional positions:
Ca 0.0000 0.5000 0.0000  2 H 2.34
Ca 0.5000 0.0000 0.0000  2 H 2.34
Ga 0.0000 0.0000 0.5000  4 Br 3.30, 8 Ca 3.53
H 0.5000 0.5000 0.0000  4 Ca 2.34
Br 0.5000 0.5000 0.5000  2 H 2.65

=====

Record 2
BeIrF | PBE | relaxed

Energy relative to the lowest polymorph listed for this composition = 0.073 eV per atom
Raw formation energy = -1.351 eV/atom

a b c (Å): 6.8612 6.8612 2.6859
angles (deg): 101.06 101.06 135.47
With the nearest neighbours (Å) after each atom.
Fractional positions:
Be 0.0893 0.9107 0.0000  2 F 1.59
Be 0.9107 0.0893 0.0000  2 F 1.59
Ir 0.2378 0.7622 0.5000  2 Be 2.32
Ir 0.7622 0.2378 0.5000  2 Be 2.32
F 0.2335 0.2335 0.0840  2 Be 1.59
F 0.7665 0.7665 0.9160  2 Be 1.59

=====

Record 3
Hf2NbAlF | PBE | relaxed

Raw formation energy = 0.993 eV/atom

a b c (Å): 5.0404 5.0404 4.7690
angles (deg): 90.00 90.00 90.00
With the nearest neighbours (Å) after each atom.
Fractional positions:
Hf 0.0000 0.5000 0.0000  2 Al 2.52
Hf 0.5000 0.0000 0.0000  2 Al 2.52
Nb 0.0000 0.0000 0.5000  2 Al 2.38
Al 0.0000 0.0000 0.0000  2 Nb 2.38, 4 Hf 2.52
F 0.5000 0.5000 0.5000  8 Hf 3.47, 4 Nb 3.56

=====

Record 4
SrRe2Ni | PBE | relaxed

Energy relative to the lowest polymorph listed for this composition = 0.000 eV per atom
Formation energy = 38.76 kJ/mol of atoms

a b c (Å): 6.0454 6.0454 6.0454
angles (deg): 41.54 41.54 41.54
With the nearest neighbours (Å) after each atom.
Fractional positions:
Sr 0.0000 0.0000 0.0000  4 Ni 3.11-3.45, 4 Re 3.24-3.36
Re 0.5046 0.5046 0.5046  3 Ni 2.49, 3 Re 2.54
Re 0.8040 0.8040 0.8040  3 Re 2.54, 3 Ni 2.61
Ni 0.1881 0.1881 0.1881  6 Re 2.49-2.61

=====

Record 5
As2AuCl2 | PBE | relaxed

Energy relative to the lowest polymorph listed for this composition = 0.635 eV per atom
Raw formation energy = 0.437 eV/atom

a b c (Å): 8.7821 8.7821 2.8760
angles (deg): 90.00 90.00 90.00
With the nearest neighbours (Å) after each atom.
Fractional positions:
As 0.2190 0.2810 0.0000  2 Cl 2.47
As 0.2810 0.7810 0.0000  2 Cl 2.47
As 0.7190 0.2190 0.0000  2 Cl 2.47
As 0.7810 0.7190 0.0000  2 Cl 2.47
Au 0.0000 0.0000 0.5000  2 Au 2.88
Au 0.5000 0.5000 0.5000  2 Au 2.88
Cl 0.1188 0.6188 0.5000  2 As 2.47
Cl 0.3812 0.1188 0.5000  2 As 2.47
Cl 0.6188 0.8812 0.5000  2 As 2.47
Cl 0.8812 0.3812 0.5000  2 As 2.47

=====

Record 6
PrInAu4 | PBE | relaxed

Energy relative to the lowest polymorph listed for this composition = 0.046 eV per atom
Formation energy = -39.39 kJ/mol of atoms

a b c (Å): 6.5986 6.5986 6.8395
angles (deg): 102.86 102.86 73.76
With the nearest neighbours (Å) after each atom.
Fractional positions:
Pr 0.1544 0.1544 0.2528  9 Au 3.20-3.54, 1 In 3.38
Pr 0.8456 0.8456 0.7472  9 Au 3.20-3.54, 1 In 3.38
In 0.3980 0.3980 0.6955  7 Au 2.77-2.97
In 0.6020 0.6020 0.3045  7 Au 2.77-2.97
Au 0.1529 0.1529 0.7697  1 In 2.77, 6 Au 2.79-3.05
Au 0.1934 0.5669 0.0641  6 Au 2.79-3.05, 2 In 2.87-2.97
Au 0.2390 0.7610 0.5000  4 Au 2.82-2.96, 2 In 2.83
Au 0.4331 0.8066 0.9359  6 Au 2.79-3.05, 2 In 2.87-2.97
Au 0.5669 0.1934 0.0641  6 Au 2.79-3.05, 2 In 2.87-2.97
Au 0.7610 0.2390 0.5000  4 Au 2.82-2.96, 2 In 2.83
Au 0.8066 0.4331 0.9359  6 Au 2.79-3.05, 2 In 2.87-2.97
Au 0.8471 0.8471 0.2303  1 In 2.77, 6 Au 2.79-3.05

=====

Record 7
CaP2Cl | PBE | relaxed

Energy relative to the lowest polymorph listed for this composition = 0.186 eV per atom
Raw formation energy = -0.791 eV/atom

a b c (Å): 5.4987 5.4987 5.4987
angles (deg): 142.96 114.11 78.07
With the nearest neighbours (Å) after each atom.
Fractional positions:
Ca 0.0000 0.0000 0.0000  2 Cl 2.64
P 0.5350 0.5350 0.0000  2 P 2.21
P 0.6928 0.1928 0.5000  2 P 2.21
Cl 0.2323 0.7323 0.5000  2 Ca 2.64

=====

Record 8
NaLiReN3 | PBE | relaxed

Raw formation energy = -0.231 eV/atom

a b c (Å): 5.8917 5.8917 5.3552
angles (deg): 93.90 93.90 124.11
With the nearest neighbours (Å) after each atom.
Fractional positions:
Na 0.2285 0.7715 0.7500  6 N 2.71-2.80
Na 0.7715 0.2285 0.2500  6 N 2.71-2.80
Li 0.0726 0.9274 0.2500  5 N 2.07-2.19
Li 0.9274 0.0726 0.7500  5 N 2.07-2.19
Re 0.4413 0.5587 0.2500  3 N 1.77-1.94
Re 0.5587 0.4413 0.7500  3 N 1.77-1.94
N 0.2407 0.2900 0.4973  2 Re 1.94-2.01, 1 Li 2.09
N 0.2715 0.7285 0.2500  1 Re 1.77
N 0.2900 0.2407 0.9973  2 Re 1.94-2.01, 1 Li 2.09
N 0.7100 0.7593 0.0027  2 Re 1.94-2.01, 1 Li 2.09
N 0.7285 0.2715 0.7500  1 Re 1.77
N 0.7593 0.7100 0.5027  2 Re 1.94-2.01, 1 Li 2.09